A plane-wave DFT calculation with PBE was carried out for a relaxed structure of BaCaNdBiO6.

Properties
energy above the lowest structure with this stoichiometry = 133 meV per atom
density = 6.12 Mg/m³
calculated total energy = -0.236 Ha/atom
formation energy without anion corrections = -2192 meV/atom
DOS(E_F) = 0.0 states/eV/f.u.
space-group type = F-43m, No. 216

a = 6.2186 Å, b = 6.2186 Å, c = 6.2186 Å
α = 60.00°, β = 60.00°, γ = 60.00°
Positions (direct):
O (0.2400, 0.2400, 0.7600)
O (0.2400, 0.7600, 0.2400)
O (0.7600, 0.7600, 0.2400)
O (0.7600, 0.2400, 0.2400)
O (0.2400, 0.7600, 0.7600)
O (0.7600, 0.2400, 0.7600)
Nd (0.5000, 0.5000, 0.5000)
Bi (0.0000, 0.0000, 0.0000)
Ca (0.7500, 0.7500, 0.7500)
Ba (0.2500, 0.2500, 0.2500)


A plane-wave DFT calculation with PBE was carried out for a relaxed structure of Pr2YCd.

Properties
energy above the lowest structure with this stoichiometry = 110 meV per atom
density = 6.12 Mg/m³
calculated total energy = -0.157 Ha/atom
formation energy from the elements = -0.048 eV/atom
DOS(E_F) = 5.2 states/eV/f.u.
space-group type = R3m, No. 160

a = 3.6836 Å, b = 3.6836 Å, c = 11.3520 Å
α = 80.66°, β = 80.66°, γ = 60.00°
Positions (direct):
Pr (0.2546, 0.2546, 0.2363)
Pr (0.0789, 0.0789, 0.7633)
Cd (0.6667, 0.6667, 0.9999)
Y (0.4999, 0.4999, 0.5004)


A plane-wave DFT calculation with PBE was carried out for a relaxed structure of Pr4Ni2N.

Properties
density = 6.49 Mg/m³
calculated total energy = -0.212 Ha/atom
formation energy without anion corrections = -192 meV/atom
DOS(E_F) = 8.5 states/eV/f.u.
space-group type = I4/mmm, No. 139

a = 4.9051 Å, b = 4.9051 Å, c = 8.1619 Å
α = 72.51°, β = 72.51°, γ = 90.00°
Positions (direct):
Pr (0.3061, 0.3061, 0.3878)
Pr (0.6939, 0.6939, 0.6122)
Pr (0.0000, 0.5000, 0.0000)
Pr (0.5000, 0.0000, 0.0000)
N (0.0000, 0.0000, 0.0000)
Ni (0.1287, 0.1287, 0.7427)
Ni (0.8713, 0.8713, 0.2573)


A plane-wave DFT calculation with PBE was carried out for a relaxed structure of TaMo.

Properties
density = 13.58 Mg/m³
calculated total energy = -0.421 Ha/atom
formation energy from the elements = -0.102 eV/atom
DOS(E_F) = 1.6 states/eV/f.u.
space-group type = P1, No. 1

a = 2.8675 Å, b = 5.3297 Å, c = 6.9424 Å
α = 77.91°, β = 82.11°, γ = 79.98°
Positions (direct):
Mo (0.9971, 0.9992, 0.9978)
Mo (0.5041, 0.5022, 0.9972)
Mo (0.8323, 0.8320, 0.6720)
Ta (0.1611, 0.1655, 0.3304)
Ta (0.6735, 0.6696, 0.3284)
Ta (0.3319, 0.3316, 0.6741)


A plane-wave DFT calculation with PBE was carried out for a relaxed structure of LaPrEuHg.

Properties
density = 8.23 Mg/m³
calculated total energy = -0.190 Ha/atom
formation energy from the elements = -0.106 eV/atom
DOS(E_F) = 4.4 states/eV/f.u.
space-group type = F-43m, No. 216

a = 5.6502 Å, b = 5.6502 Å, c = 5.6502 Å
α = 60.00°, β = 60.00°, γ = 60.00°
Last column: magnetic moment on the atom in μB.
Positions (direct):
Hg (0.5000, 0.5000, 0.5000)  -0.01
Pr (0.7500, 0.7500, 0.7500)  0.02
La (0.2500, 0.2500, 0.2500)  0.03
Eu (0.0000, 0.0000, 0.0000)  6.89


A plane-wave DFT calculation with PBE was carried out for a relaxed structure of KBe2VSe.

Properties
density = 2.90 Mg/m³
calculated total energy = -0.119 Ha/atom
formation energy without anion corrections = 990 meV/atom
DOS(E_F) = 4.1 states/eV/f.u.
space-group type = P4/mmm, No. 123

a = 4.7369 Å, b = 4.7671 Å, c = 4.7369 Å
α = 90.00°, β = 90.00°, γ = 90.00°
Last column: magnetic moment on the atom in μB.
Positions (direct):
Be (0.5000, 0.0000, 0.0000)  0.05
Be (0.0000, 0.0000, 0.5000)  0.05
Se (0.0000, 0.0000, 0.0000)  0.03
K (0.5000, 0.5000, 0.5000)  -0.01
V (0.0000, 0.5000, 0.0000)  -2.45